Arrangement P

First-principles (PBE-GGA) data for KSr3Sc after structural relaxation, as listed in Alexandria.

## Properties
Its total magnetic moment is 3.6 μB/f.u.

abc: 6.6309 6.6309 6.6309
angles: 90.00 90.00 90.00
Closest atoms and distances in Å follow each position.
Space group Pm-3m (No. 221)
Inequivalent atoms, fractional coordinates:
K: 0.0000 0.0000 0.0000 [1 per cell]  12 Sr 4.69
Sr: 0.0000 0.5000 0.5000 [3 per cell]  2 Sc 3.32
Sc: 0.5000 0.5000 0.5000 [1 per cell]  6 Sr 3.32

***

Arrangement Q

First-principles (PBE-GGA) data for KSr3Sc after structural relaxation, as listed in Alexandria.

## Properties
Its total magnetic moment is 2.6 μB/f.u.

abc: 6.4398 6.4398 6.4398
angles: 90.00 90.00 90.00
Closest atoms and distances in Å follow each position.
Space group Pm-3m (No. 221)
Inequivalent atoms, fractional coordinates:
K: 0.0000 0.0000 0.0000 [1 per cell]  6 Sr 3.22
Sr: 0.0000 0.0000 0.5000 [3 per cell]  2 K 3.22
Sc: 0.5000 0.5000 0.5000 [1 per cell]  12 Sr 4.55

***

Consider the structures shown above. The most stable of them is arrangement P.